This record from Alexandria describes a geometry-optimized Pr3NdDy6 structure. The functional is PBE.

Unit cell a=11.0253 b=11.0253 c=6.3783 alpha=90.00 beta=90.00 gamma=119.78
Atoms (fractional coordinates):
Pr1 0.1116 0.8884 0.5000
Pr2 0.2099 0.4368 0.8922
Pr3 0.4368 0.2099 0.3922
Pr4 0.5632 0.7901 0.8922
Pr5 0.7901 0.5632 0.3922
Pr6 0.8884 0.1116 0.0000
Nd1 0.3054 0.6946 0.5562
Nd2 0.6946 0.3054 0.0562
Dy1 0.0306 0.4505 0.3015
Dy2 0.1219 0.2128 0.4739
Dy3 0.2128 0.1219 0.9739
Dy4 0.2259 0.7741 0.0757
Dy5 0.4505 0.0306 0.8015
Dy6 0.4615 0.5385 0.2997
Dy7 0.5385 0.4615 0.7997
Dy8 0.5495 0.9694 0.3015
Dy9 0.7741 0.2259 0.5757
Dy10 0.7872 0.8781 0.4739
Dy11 0.8781 0.7872 0.9739
Dy12 0.9694 0.5495 0.8015

Total magnetization ... 0.000 μB per formula unit
Distance to the lowest polymorph of the same formula ... 0 kJ/mol of formula units